*a*
Material: CdAsPbO
Method: DFT, GGA-PBE
State: relaxed

```
data_CdAsPbO
_symmetry_space_group_name_H-M 'P 4/n m m'
_symmetry_Int_Tables_number 129
_cell_length_a 4.663
_cell_length_b 4.663
_cell_length_c 8.893
_cell_angle_alpha 90.00
_cell_angle_beta 90.00
_cell_angle_gamma 90.00
loop_
_symmetry_equiv_pos_as_xyz
'x,y,z'
'-x,-y,-z'
'-y+1/2,x,z'
'y+1/2,-x,-z'
'-x+1/2,-y+1/2,z'
'x+1/2,y+1/2,-z'
'y,-x+1/2,z'
'-y,x+1/2,-z'
'x+1/2,-y,-z'
'-x+1/2,y,z'
'-y,-x,-z'
'y,x,z'
'-x,y+1/2,-z'
'x,-y+1/2,z'
'y+1/2,x+1/2,-z'
'-y+1/2,-x+1/2,z'
loop_
_atom_site_label
_atom_site_type_symbol
_atom_site_fract_x
_atom_site_fract_y
_atom_site_fract_z
_atom_site_occupancy
Cd1 Cd 0.250 0.250 0.015 1
As1 As 0.250 0.250 0.687 1
Pb1 Pb 0.250 0.750 0.500 1
O1 O 0.250 0.750 0.000 1
```

*b*
Material: CdAsPbO
Method: DFT, GGA-PBE
State: relaxed

```
data_CdAsPbO
_symmetry_space_group_name_H-M 'P 4/n m m'
_symmetry_Int_Tables_number 129
_cell_length_a 4.125
_cell_length_b 4.125
_cell_length_c 10.127
_cell_angle_alpha 90.00
_cell_angle_beta 90.00
_cell_angle_gamma 90.00
loop_
_symmetry_equiv_pos_as_xyz
'x,y,z'
'-x,-y,-z'
'-y+1/2,x,z'
'y+1/2,-x,-z'
'-x+1/2,-y+1/2,z'
'x+1/2,y+1/2,-z'
'y,-x+1/2,z'
'-y,x+1/2,-z'
'x+1/2,-y,-z'
'-x+1/2,y,z'
'-y,-x,-z'
'y,x,z'
'-x,y+1/2,-z'
'x,-y+1/2,z'
'y+1/2,x+1/2,-z'
'-y+1/2,-x+1/2,z'
loop_
_atom_site_label
_atom_site_type_symbol
_atom_site_fract_x
_atom_site_fract_y
_atom_site_fract_z
_atom_site_occupancy
Cd1 Cd 0.250 0.750 0.000 1
As1 As 0.250 0.250 0.182 1
Pb1 Pb 0.250 0.250 0.615 1
O1 O 0.250 0.750 0.500 1
```

*b* is favored, and the nearest alternative lies 21.0 kJ/mol of atoms above it.

*a*
Material: CdAsPtO
Method: DFT, GGA-PBE
State: relaxed

```
data_CdAsPtO
_symmetry_space_group_name_H-M 'P 4/n m m'
_symmetry_Int_Tables_number 129
_cell_length_a 4.023
_cell_length_b 4.023
_cell_length_c 8.330
_cell_angle_alpha 90.00
_cell_angle_beta 90.00
_cell_angle_gamma 90.00
loop_
_symmetry_equiv_pos_as_xyz
'x,y,z'
'-x,-y,-z'
'-y+1/2,x,z'
'y+1/2,-x,-z'
'-x+1/2,-y+1/2,z'
'x+1/2,y+1/2,-z'
'y,-x+1/2,z'
'-y,x+1/2,-z'
'x+1/2,-y,-z'
'-x+1/2,y,z'
'-y,-x,-z'
'y,x,z'
'-x,y+1/2,-z'
'x,-y+1/2,z'
'y+1/2,x+1/2,-z'
'-y+1/2,-x+1/2,z'
loop_
_atom_site_label
_atom_site_type_symbol
_atom_site_fract_x
_atom_site_fract_y
_atom_site_fract_z
_atom_site_occupancy
Cd1 Cd 0.250 0.750 0.000 1
As1 As 0.250 0.250 0.245 1
Pt1 Pt 0.250 0.250 0.606 1
O1 O 0.250 0.750 0.500 1
```

Properties
size of the total moment: 0.01 μB/cell

*b*
Material: CdAsPtO
Method: DFT, GGA-PBE
State: relaxed

```
data_CdAsPtO
_symmetry_space_group_name_H-M 'P 4/n m m'
_symmetry_Int_Tables_number 129
_cell_length_a 4.264
_cell_length_b 4.264
_cell_length_c 7.717
_cell_angle_alpha 90.00
_cell_angle_beta 90.00
_cell_angle_gamma 90.00
loop_
_symmetry_equiv_pos_as_xyz
'x,y,z'
'-x,-y,-z'
'-y+1/2,x,z'
'y+1/2,-x,-z'
'-x+1/2,-y+1/2,z'
'x+1/2,y+1/2,-z'
'y,-x+1/2,z'
'-y,x+1/2,-z'
'x+1/2,-y,-z'
'-x+1/2,y,z'
'-y,-x,-z'
'y,x,z'
'-x,y+1/2,-z'
'x,-y+1/2,z'
'y+1/2,x+1/2,-z'
'-y+1/2,-x+1/2,z'
loop_
_atom_site_label
_atom_site_type_symbol
_atom_site_fract_x
_atom_site_fract_y
_atom_site_fract_z
_atom_site_occupancy
Cd1 Cd 0.250 0.250 0.094 1
As1 As 0.250 0.250 0.672 1
Pt1 Pt 0.250 0.750 0.500 1
O1 O 0.250 0.750 0.000 1
```

Properties
size of the total moment: 0.01 μB/cell

*c*
Material: CdAsPtO
Method: DFT, GGA-PBE
State: relaxed

```
data_CdAsPtO
_symmetry_space_group_name_H-M 'P m c 21'
_symmetry_Int_Tables_number 26
_symmetry_space_group_name_Hall 'P 2c -2'
_cell_length_a 3.332
_cell_length_b 7.021
_cell_length_c 6.340
_cell_angle_alpha 90.00
_cell_angle_beta 90.00
_cell_angle_gamma 90.00
loop_
_atom_site_label
_atom_site_type_symbol
_atom_site_fract_x
_atom_site_fract_y
_atom_site_fract_z
_atom_site_occupancy
Cd1 Cd 0.000 0.246 0.000 1
As1 As 0.000 0.128 0.405 1
Pt1 Pt 0.500 0.298 0.601 1
O1 O 0.500 0.439 0.902 1
```

Properties
size of the total moment: 0.01 μB/cell

*d*
Material: CdAsPtO
Method: DFT, GGA-PBE
State: relaxed

```
data_CdAsPtO
_symmetry_space_group_name_H-M 'P m c 21'
_symmetry_Int_Tables_number 26
_symmetry_space_group_name_Hall 'P 2c -2'
_cell_length_a 4.108
_cell_length_b 6.068
_cell_length_c 6.056
_cell_angle_alpha 90.00
_cell_angle_beta 90.00
_cell_angle_gamma 90.00
loop_
_atom_site_label
_atom_site_type_symbol
_atom_site_fract_x
_atom_site_fract_y
_atom_site_fract_z
_atom_site_occupancy
Cd1 Cd 0.000 0.162 0.000 1
As1 As 0.500 0.352 0.792 1
Pt1 Pt 0.500 0.258 0.399 1
O1 O 0.000 0.191 0.371 1
```

Properties
size of the total moment: 0.04 μB/cell

*b* is favored, and the nearest alternative lies 23.3 kJ/mol of atoms above it.

*a*
Material: CdSiAsO
Method: DFT, GGA-PBE
State: relaxed

```
data_CdSiAsO
_symmetry_space_group_name_H-M 'P 4/n m m'
_symmetry_Int_Tables_number 129
_cell_length_a 3.799
_cell_length_b 3.799
_cell_length_c 9.492
_cell_angle_alpha 90.00
_cell_angle_beta 90.00
_cell_angle_gamma 90.00
loop_
_symmetry_equiv_pos_as_xyz
'x,y,z'
'-x,-y,-z'
'-y+1/2,x,z'
'y+1/2,-x,-z'
'-x+1/2,-y+1/2,z'
'x+1/2,y+1/2,-z'
'y,-x+1/2,z'
'-y,x+1/2,-z'
'x+1/2,-y,-z'
'-x+1/2,y,z'
'-y,-x,-z'
'y,x,z'
'-x,y+1/2,-z'
'x,-y+1/2,z'
'y+1/2,x+1/2,-z'
'-y+1/2,-x+1/2,z'
loop_
_atom_site_label
_atom_site_type_symbol
_atom_site_fract_x
_atom_site_fract_y
_atom_site_fract_z
_atom_site_occupancy
Cd1 Cd 0.250 0.750 0.000 1
Si1 Si 0.250 0.250 0.407 1
As1 As 0.250 0.250 0.789 1
O1 O 0.250 0.750 0.500 1
```

*b*
Material: CdSiAsO
Method: DFT, GGA-PBE
State: relaxed

```
data_CdSiAsO
_symmetry_space_group_name_H-M 'P m c 21'
_symmetry_Int_Tables_number 26
_symmetry_space_group_name_Hall 'P 2c -2'
_cell_length_a 3.610
_cell_length_b 8.297
_cell_length_c 5.406
_cell_angle_alpha 90.00
_cell_angle_beta 90.00
_cell_angle_gamma 90.00
loop_
_atom_site_label
_atom_site_type_symbol
_atom_site_fract_x
_atom_site_fract_y
_atom_site_fract_z
_atom_site_occupancy
Cd1 Cd 0.000 0.153 0.000 1
Si1 Si 0.500 0.386 0.501 1
As1 As 0.000 0.203 0.500 1
O1 O 0.500 0.499 0.752 1
```

*b* is favored, and the nearest alternative lies 64.4 kJ/mol of atoms above it.

*a*
Material: TlCdAsO
Method: DFT, GGA-PBE
State: relaxed

```
data_TlCdAsO
_symmetry_space_group_name_H-M 'P m c 21'
_symmetry_Int_Tables_number 26
_symmetry_space_group_name_Hall 'P 2c -2'
_cell_length_a 4.103
_cell_length_b 6.634
_cell_length_c 6.632
_cell_angle_alpha 90.00
_cell_angle_beta 90.00
_cell_angle_gamma 90.00
loop_
_atom_site_label
_atom_site_type_symbol
_atom_site_fract_x
_atom_site_fract_y
_atom_site_fract_z
_atom_site_occupancy
Tl1 Tl 0.000 0.150 0.000 1
Cd1 Cd 0.500 0.397 0.597 1
As1 As 0.000 0.240 0.399 1
O1 O 0.500 0.311 0.919 1
```

*b*
Material: TlCdAsO
Method: DFT, GGA-PBE
State: relaxed

```
data_TlCdAsO
_symmetry_space_group_name_H-M 'P 4/n m m'
_symmetry_Int_Tables_number 129
_cell_length_a 4.167
_cell_length_b 4.167
_cell_length_c 9.357
_cell_angle_alpha 90.00
_cell_angle_beta 90.00
_cell_angle_gamma 90.00
loop_
_symmetry_equiv_pos_as_xyz
'x,y,z'
'-x,-y,-z'
'-y+1/2,x,z'
'y+1/2,-x,-z'
'-x+1/2,-y+1/2,z'
'x+1/2,y+1/2,-z'
'y,-x+1/2,z'
'-y,x+1/2,-z'
'x+1/2,-y,-z'
'-x+1/2,y,z'
'-y,-x,-z'
'y,x,z'
'-x,y+1/2,-z'
'x,-y+1/2,z'
'y+1/2,x+1/2,-z'
'-y+1/2,-x+1/2,z'
loop_
_atom_site_label
_atom_site_type_symbol
_atom_site_fract_x
_atom_site_fract_y
_atom_site_fract_z
_atom_site_occupancy
Tl1 Tl 0.250 0.250 0.115 1
Cd1 Cd 0.250 0.750 0.500 1
As1 As 0.250 0.250 0.698 1
O1 O 0.250 0.750 0.000 1
```

*c*
Material: TlCdAsO
Method: DFT, GGA-PBE
State: relaxed

```
data_TlCdAsO
_symmetry_space_group_name_H-M 'P 4/n m m'
_symmetry_Int_Tables_number 129
_cell_length_a 4.525
_cell_length_b 4.525
_cell_length_c 9.128
_cell_angle_alpha 90.00
_cell_angle_beta 90.00
_cell_angle_gamma 90.00
loop_
_symmetry_equiv_pos_as_xyz
'x,y,z'
'-x,-y,-z'
'-y+1/2,x,z'
'y+1/2,-x,-z'
'-x+1/2,-y+1/2,z'
'x+1/2,y+1/2,-z'
'y,-x+1/2,z'
'-y,x+1/2,-z'
'x+1/2,-y,-z'
'-x+1/2,y,z'
'-y,-x,-z'
'y,x,z'
'-x,y+1/2,-z'
'x,-y+1/2,z'
'y+1/2,x+1/2,-z'
'-y+1/2,-x+1/2,z'
loop_
_atom_site_label
_atom_site_type_symbol
_atom_site_fract_x
_atom_site_fract_y
_atom_site_fract_z
_atom_site_occupancy
Tl1 Tl 0.250 0.750 0.000 1
Cd1 Cd 0.250 0.250 0.481 1
As1 As 0.250 0.250 0.811 1
O1 O 0.250 0.750 0.500 1
```

*a* is favored, and the nearest alternative lies 12.8 kJ/mol of atoms above it.

*a*
Material: TlCdAsO
Method: DFT, GGA-PBE
State: relaxed

```
data_TlCdAsO
_symmetry_space_group_name_H-M 'P m c 21'
_symmetry_Int_Tables_number 26
_symmetry_space_group_name_Hall 'P 2c -2'
_cell_length_a 4.206
_cell_length_b 6.721
_cell_length_c 6.534
_cell_angle_alpha 90.00
_cell_angle_beta 90.00
_cell_angle_gamma 90.00
loop_
_atom_site_label
_atom_site_type_symbol
_atom_site_fract_x
_atom_site_fract_y
_atom_site_fract_z
_atom_site_occupancy
Tl1 Tl 0.000 0.155 0.000 1
Cd1 Cd 0.500 0.291 0.427 1
As1 As 0.500 0.322 0.833 1
O1 O 0.000 0.157 0.350 1
```

*b*
Material: TlCdAsO
Method: DFT, GGA-PBE
State: relaxed

```
data_TlCdAsO
_symmetry_space_group_name_H-M 'P 4/n m m'
_symmetry_Int_Tables_number 129
_cell_length_a 4.158
_cell_length_b 4.158
_cell_length_c 9.287
_cell_angle_alpha 90.00
_cell_angle_beta 90.00
_cell_angle_gamma 90.00
loop_
_symmetry_equiv_pos_as_xyz
'x,y,z'
'-x,-y,-z'
'-y+1/2,x,z'
'y+1/2,-x,-z'
'-x+1/2,-y+1/2,z'
'x+1/2,y+1/2,-z'
'y,-x+1/2,z'
'-y,x+1/2,-z'
'x+1/2,-y,-z'
'-x+1/2,y,z'
'-y,-x,-z'
'y,x,z'
'-x,y+1/2,-z'
'x,-y+1/2,z'
'y+1/2,x+1/2,-z'
'-y+1/2,-x+1/2,z'
loop_
_atom_site_label
_atom_site_type_symbol
_atom_site_fract_x
_atom_site_fract_y
_atom_site_fract_z
_atom_site_occupancy
Tl1 Tl 0.250 0.250 0.116 1
Cd1 Cd 0.250 0.750 0.500 1
As1 As 0.250 0.250 0.700 1
O1 O 0.250 0.750 0.000 1
```

*a* is favored, and the nearest alternative lies 20.9 kJ/mol of atoms above it.

*a*
Material: PrCdAs
Method: DFT, GGA-PBE
State: relaxed

```
data_PrCdAs
_symmetry_space_group_name_H-M 'F -4 3 m'
_symmetry_Int_Tables_number 216
_symmetry_space_group_name_Hall 'F -4 2 3'
_cell_length_a 7.132
_cell_length_b 7.132
_cell_length_c 7.132
_cell_angle_alpha 90.00
_cell_angle_beta 90.00
_cell_angle_gamma 90.00
loop_
_atom_site_label
_atom_site_type_symbol
_atom_site_fract_x
_atom_site_fract_y
_atom_site_fract_z
_atom_site_occupancy
Pr1 Pr 0.000 0.000 0.000 1
Cd1 Cd 0.250 0.250 0.250 1
As1 As 0.250 0.250 0.750 1
```

Properties
size of the total moment: 0.00 μB/cell

*b*
Material: PrCdAs
Method: DFT, GGA-PBE
State: relaxed

```
data_PrCdAs
_symmetry_space_group_name_H-M 'F -4 3 m'
_symmetry_Int_Tables_number 216
_symmetry_space_group_name_Hall 'F -4 2 3'
_cell_length_a 6.947
_cell_length_b 6.947
_cell_length_c 6.947
_cell_angle_alpha 90.00
_cell_angle_beta 90.00
_cell_angle_gamma 90.00
loop_
_atom_site_label
_atom_site_type_symbol
_atom_site_fract_x
_atom_site_fract_y
_atom_site_fract_z
_atom_site_occupancy
Pr1 Pr 0.000 0.000 0.000 1
Cd1 Cd 0.250 0.250 0.750 1
As1 As 0.000 0.000 0.500 1
```

Properties
size of the total moment: 0.02 μB/cell

*a* is favored, and the nearest alternative lies 17.1 kJ/mol of atoms above it.